(1)
First-principles (PBE) data for an optimized crystal structure of K2SbH, as listed in the Alexandria database.

**SG**: No. 8
**Energy above the lowest structure with this stoichiometry**: 0.0 kJ per mole of atoms

a = 4.380 Å, b = 5.876 Å, c = 5.876 Å
α = 89.82°, β = 90.01°, γ = 90.01°
Fractional positions:
K1 0.901 0.001 0.000
K2 0.901 0.500 0.501
H1 0.803 0.999 0.499
Sb1 0.396 0.000 0.500

---

(2)
First-principles (PBE) data for an optimized crystal structure of KSbH, as listed in the Alexandria database.

**SG**: No. 5
**Energy above the lowest structure with this stoichiometry**: 2.0 kJ per mole of atoms

a = 6.713 Å, b = 10.875 Å, c = 4.957 Å
α = 90.00°, β = 90.40°, γ = 90.00°
Fractional positions:
H1 0.261 0.692 0.162
H2 0.261 0.192 0.662
H3 0.739 0.692 0.838
H4 0.739 0.192 0.338
Sb1 0.724 0.698 0.485
Sb2 0.276 0.198 0.015
Sb3 0.276 0.698 0.515
Sb4 0.724 0.198 0.985
K1 0.500 0.496 0.000
K2 0.500 0.996 0.500
K3 0.000 0.896 0.000
K4 0.000 0.396 0.500

---

(3)
First-principles (PBE) data for an optimized crystal structure of KSbH, as listed in the Alexandria database.

**SG**: No. 1
**Energy above the lowest structure with this stoichiometry**: 0.0 kJ per mole of atoms

a = 5.159 Å, b = 5.189 Å, c = 7.134 Å
α = 78.36°, β = 69.45°, γ = 89.16°
Fractional positions:
K1 0.140 0.052 0.637
K2 0.432 0.561 0.116
H1 0.234 0.052 0.189
H2 0.590 0.799 0.717
Sb1 0.885 0.021 0.197
Sb2 0.693 0.587 0.535

---

(4)
First-principles (PBE) data for an optimized crystal structure of KSbH, as listed in the Alexandria database.

**SG**: No. 62
**D(E_F)**: 0.36 states/eV per atom
**Energy above the lowest structure with this stoichiometry**: 28.0 kJ per mole of atoms

a = 4.764 Å, b = 6.890 Å, c = 9.880 Å
α = 90.00°, β = 90.00°, γ = 90.00°
Fractional positions:
H1 0.250 0.211 0.061
H2 0.750 0.789 0.939
H3 0.250 0.289 0.561
H4 0.750 0.711 0.439
K1 0.750 0.898 0.679
K2 0.250 0.102 0.321
K3 0.750 0.602 0.179
K4 0.250 0.398 0.821
Sb1 0.750 0.384 0.532
Sb2 0.250 0.884 0.968
Sb3 0.250 0.616 0.468
Sb4 0.750 0.116 0.032

---

(5)
First-principles (PBE) data for an optimized crystal structure of K12Sb3H5, as listed in the Alexandria database.

**SG**: No. 230
**D(E_F)**: 0.52 states/eV per atom
**Calculated total energy**: -2.3342 eV per atom

a = 15.736 Å, b = 15.736 Å, c = 15.736 Å
α = 109.47°, β = 109.47°, γ = 109.47°
Fractional positions:
K1 0.794 0.476 0.379
K2 0.121 0.415 0.097
K3 0.097 0.182 0.476
K4 0.818 0.915 0.294
K5 0.318 0.794 0.415
K6 0.682 0.206 0.585
K7 0.206 0.524 0.621
K8 0.879 0.585 0.903
K9 0.403 0.024 0.318
K10 0.182 0.085 0.706
K11 0.621 0.597 0.915
K12 0.585 0.879 0.403
K13 0.621 0.024 0.206
K14 0.476 0.682 0.097
K15 0.121 0.706 0.524
K16 0.597 0.976 0.682
K17 0.318 0.524 0.403
K18 0.818 0.903 0.024
K19 0.794 0.318 0.915
K20 0.682 0.476 0.597
K21 0.524 0.206 0.121
K22 0.524 0.318 0.903
K23 0.097 0.915 0.121
K24 0.182 0.097 0.976
K25 0.415 0.121 0.597
K26 0.915 0.097 0.621
K27 0.403 0.379 0.585
K28 0.903 0.818 0.524
K29 0.706 0.585 0.182
K30 0.379 0.403 0.085
K31 0.024 0.621 0.706
K32 0.294 0.415 0.818
K33 0.903 0.085 0.879
K34 0.024 0.403 0.818
K35 0.085 0.903 0.379
K36 0.379 0.976 0.794
K37 0.706 0.121 0.024
K38 0.915 0.818 0.794
K39 0.476 0.794 0.879
K40 0.585 0.706 0.682
K41 0.294 0.879 0.976
K42 0.206 0.682 0.085
K43 0.415 0.294 0.318
K44 0.879 0.294 0.476
K45 0.976 0.597 0.182
K46 0.085 0.182 0.206
K47 0.597 0.621 0.415
K48 0.976 0.379 0.294
Sb1 0.125 0.875 0.750
Sb2 0.375 0.625 0.250
Sb3 0.750 0.375 0.125
Sb4 0.250 0.125 0.375
Sb5 0.625 0.375 0.750
Sb6 0.875 0.750 0.125
Sb7 0.375 0.750 0.625
Sb8 0.750 0.875 0.625
Sb9 0.250 0.625 0.875
Sb10 0.875 0.125 0.250
Sb11 0.625 0.250 0.375
Sb12 0.125 0.250 0.875
H1 0.500 0.500 0.000
H2 0.500 0.500 0.500
H3 0.125 0.750 0.375
H4 0.000 0.500 0.500
H5 0.875 0.625 0.750
H6 0.000 0.000 0.500
H7 0.750 0.125 0.875
H8 0.250 0.875 0.125
H9 0.375 0.125 0.750
H10 0.500 0.000 0.000
H11 0.500 0.000 0.500
H12 0.000 0.500 0.000
H13 0.875 0.250 0.625
H14 0.375 0.250 0.125
H15 0.625 0.875 0.250
H16 0.000 0.000 0.000
H17 0.125 0.375 0.250
H18 0.250 0.375 0.625
H19 0.750 0.625 0.375
H20 0.625 0.750 0.875

---

(6)
First-principles (PBE) data for an optimized crystal structure of KSb2H2Se6, as listed in the Alexandria database.

**SG**: No. 2
**D(E_F)**: 0.43 states/eV per atom
**Calculated total energy**: -3.5978 eV per atom

a = 7.051 Å, b = 7.403 Å, c = 11.339 Å
α = 120.39°, β = 75.66°, γ = 63.69°
Fractional positions:
K1 0.500 0.000 0.500
H1 0.629 0.230 0.257
H2 0.371 0.770 0.743
Sb1 0.837 0.364 0.944
Sb2 0.163 0.636 0.056
Se1 0.080 0.361 0.101
Se2 0.244 0.788 0.657
Se3 0.756 0.212 0.343
Se4 0.920 0.639 0.899
Se5 0.396 0.636 0.221
Se6 0.604 0.364 0.779

---

(7)
First-principles (PBE) data for an optimized crystal structure of K2SnSbH, as listed in the Alexandria database.

**SG**: No. 11
**Calculated total energy**: -3.0623 eV per atom

a = 4.429 Å, b = 6.978 Å, c = 11.469 Å
α = 113.54°, β = 90.00°, γ = 90.00°
Fractional positions:
K1 0.750 0.793 0.092
K2 0.250 0.225 0.431
K3 0.250 0.207 0.908
K4 0.750 0.775 0.569
Sb1 0.750 0.362 0.703
Sb2 0.250 0.638 0.297
Sn1 0.750 0.350 0.182
Sn2 0.250 0.650 0.818
H1 0.750 0.207 0.289
H2 0.250 0.793 0.711

---

(8)
First-principles (PBE) data for an optimized crystal structure of KSrSbH, as listed in the Alexandria database.

**SG**: No. 38
**D(E_F)**: 0.31 states/eV per atom
**Energy above the lowest structure with this stoichiometry**: 19.6 kJ per mole of atoms

a = 4.327 Å, b = 4.841 Å, c = 14.016 Å
α = 90.00°, β = 90.00°, γ = 90.00°
Fractional positions:
Sb1 0.000 0.000 0.988
Sb2 0.000 0.500 0.488
Sr1 0.500 0.000 0.539
Sr2 0.500 0.500 0.039
K1 0.000 0.000 0.274
K2 0.000 0.500 0.774
H1 0.500 0.500 0.498
H2 0.500 0.000 0.998

---

(9)
First-principles (PBE) data for an optimized crystal structure of KSrSbH, as listed in the Alexandria database.

**SG**: No. 44
**D(E_F)**: 0.21 states/eV per atom
**Energy above the lowest structure with this stoichiometry**: 0.0 kJ per mole of atoms

a = 3.748 Å, b = 4.313 Å, c = 15.285 Å
α = 90.00°, β = 90.00°, γ = 90.00°
Fractional positions:
Sr1 0.000 0.000 0.504
Sr2 0.500 0.500 0.004
Sb1 0.500 0.500 0.625
Sb2 0.000 0.000 0.125
K1 0.000 0.000 0.774
K2 0.500 0.500 0.274
H1 0.500 0.000 0.396
H2 0.000 0.500 0.896

---

(10)
First-principles (PBE) data for an optimized crystal structure of KSrSbH, as listed in the Alexandria database.

**SG**: No. 25
**D(E_F)**: 0.59 states/eV per atom
**Energy above the lowest structure with this stoichiometry**: 0.2 kJ per mole of atoms

a = 4.714 Å, b = 3.552 Å, c = 7.838 Å
α = 90.00°, β = 90.00°, γ = 90.00°
Fractional positions:
Sb1 0.500 0.000 0.756
H1 0.000 0.000 0.197
Sr1 0.000 0.500 0.978
K1 0.000 0.500 0.473

---

(11)
First-principles (PBE) data for an optimized crystal structure of KSrSbH, as listed in the Alexandria database.

**SG**: No. 8
**D(E_F)**: 0.58 states/eV per atom
**Energy above the lowest structure with this stoichiometry**: 17.7 kJ per mole of atoms

a = 4.781 Å, b = 4.574 Å, c = 13.027 Å
α = 90.00°, β = 95.34°, γ = 90.00°
Fractional positions:
K1 0.174 0.500 0.277
K2 0.174 0.000 0.777
H1 0.873 0.000 0.948
H2 0.873 0.500 0.448
Sb1 0.177 0.000 0.058
Sb2 0.177 0.500 0.558
Sr1 0.670 0.500 0.016
Sr2 0.670 0.000 0.516

---

(12)
First-principles (PBE) data for an optimized crystal structure of KSrSbH, as listed in the Alexandria database.

**SG**: No. 1
**D(E_F)**: 0.63 states/eV per atom
**Energy above the lowest structure with this stoichiometry**: 18.9 kJ per mole of atoms

a = 4.659 Å, b = 4.737 Å, c = 7.150 Å
α = 90.41°, β = 98.06°, γ = 90.00°
Fractional positions:
K1 0.071 0.946 0.573
Sb1 0.088 0.953 0.082
H1 0.772 0.948 0.890
Sr1 0.589 0.452 0.052

---

(13)
First-principles (PBE) data for an optimized crystal structure of KSrSbH, as listed in the Alexandria database.

**SG**: No. 44
**D(E_F)**: 0.59 states/eV per atom
**Energy above the lowest structure with this stoichiometry**: 16.6 kJ per mole of atoms

a = 5.566 Å, b = 5.818 Å, c = 7.830 Å
α = 90.00°, β = 90.00°, γ = 90.00°
Fractional positions:
Sb1 0.000 0.000 0.782
Sb2 0.500 0.500 0.282
K1 0.000 0.500 0.035
K2 0.500 0.000 0.535
Sr1 0.000 0.500 0.544
Sr2 0.500 0.000 0.044
H1 0.000 0.000 0.041
H2 0.500 0.500 0.541

---

(14)
First-principles (PBE) data for an optimized crystal structure of KSrSbH, as listed in the Alexandria database.

**SG**: No. 6
**D(E_F)**: 0.34 states/eV per atom
**Energy above the lowest structure with this stoichiometry**: 17.5 kJ per mole of atoms

a = 4.268 Å, b = 5.095 Å, c = 7.095 Å
α = 90.00°, β = 107.27°, γ = 90.00°
Fractional positions:
K1 0.531 0.000 0.453
Sb1 0.806 0.000 0.000
H1 0.306 0.000 0.003
Sr1 0.279 0.500 0.946

---

(15)
First-principles (PBE) data for an optimized crystal structure of KSrSbH, as listed in the Alexandria database.

**SG**: No. 38
**D(E_F)**: 0.63 states/eV per atom
**Energy above the lowest structure with this stoichiometry**: 2.6 kJ per mole of atoms

a = 5.306 Å, b = 3.671 Å, c = 13.595 Å
α = 90.00°, β = 90.00°, γ = 90.00°
Fractional positions:
Sb1 0.000 0.500 0.587
Sb2 0.000 0.000 0.087
H1 0.500 0.500 0.390
H2 0.500 0.000 0.890
Sr1 0.500 0.000 0.512
Sr2 0.500 0.500 0.012
K1 0.000 0.500 0.310
K2 0.000 0.000 0.810

---

(16)
First-principles (PBE) data for an optimized crystal structure of KSb2TeH, as listed in the Alexandria database.

**SG**: No. 123
**D(E_F)**: 1.18 states/eV per atom
**Energy above the lowest structure with this stoichiometry**: 126.6 kJ per mole of atoms

a = 6.087 Å, b = 6.087 Å, c = 6.109 Å
α = 90.00°, β = 90.00°, γ = 90.00°
Fractional positions:
K1 0.000 0.000 0.000
H1 0.500 0.500 0.500
Te1 0.000 0.000 0.500
Sb1 0.000 0.500 0.000
Sb2 0.500 0.000 0.000

---

(17)
First-principles (PBE) data for an optimized crystal structure of KSb2TeH, as listed in the Alexandria database.

**SG**: No. 123
**D(E_F)**: 0.46 states/eV per atom
**Energy above the lowest structure with this stoichiometry**: 0.0 kJ per mole of atoms

a = 4.733 Å, b = 4.733 Å, c = 5.573 Å
α = 90.00°, β = 90.00°, γ = 90.00°
Fractional positions:
Te1 0.000 0.000 0.500
H1 0.000 0.000 0.000
Sb1 0.000 0.500 0.000
Sb2 0.500 0.000 0.000
K1 0.500 0.500 0.500

---

(18)
First-principles (PBE) data for an optimized crystal structure of K2TlSbH, as listed in the Alexandria database.

**SG**: No. 123
**D(E_F)**: 0.22 states/eV per atom
**Energy above the lowest structure with this stoichiometry**: 4.5 kJ per mole of atoms

a = 5.022 Å, b = 5.022 Å, c = 5.504 Å
α = 90.00°, β = 90.00°, γ = 90.00°
Fractional positions:
K1 0.500 0.000 0.000
K2 0.000 0.500 0.000
Tl1 0.000 0.000 0.500
Sb1 0.500 0.500 0.500
H1 0.000 0.000 0.000

---

(19)
First-principles (PBE) data for an optimized crystal structure of K2TlSbH, as listed in the Alexandria database.

**SG**: No. 11
**D(E_F)**: 0.35 states/eV per atom
**Energy above the lowest structure with this stoichiometry**: 0.0 kJ per mole of atoms

a = 5.543 Å, b = 7.255 Å, c = 8.572 Å
α = 107.23°, β = 90.00°, γ = 90.00°
Fractional positions:
Sb1 0.250 0.619 0.311
Sb2 0.750 0.381 0.689
Tl1 0.250 0.571 0.667
Tl2 0.750 0.429 0.333
K1 0.250 0.128 0.372
K2 0.750 0.750 0.068
K3 0.250 0.250 0.932
K4 0.750 0.872 0.628
H1 0.750 0.147 0.186
H2 0.250 0.853 0.814

---

(20)
First-principles (PBE) data for an optimized crystal structure of K2TlSbH, as listed in the Alexandria database.

**SG**: No. 123
**D(E_F)**: 0.45 states/eV per atom
**Energy above the lowest structure with this stoichiometry**: 8.1 kJ per mole of atoms

a = 5.678 Å, b = 5.678 Å, c = 4.470 Å
α = 90.00°, β = 90.00°, γ = 90.00°
Fractional positions:
K1 0.000 0.500 0.000
K2 0.500 0.000 0.000
Tl1 0.500 0.500 0.500
Sb1 0.000 0.000 0.500
H1 0.000 0.000 0.000

---

no.,magnetization (μB/f.u.)
1,0.00
2,0.00
3,0.00
4,0.00
5,2.18
6,0.00
7,0.00
8,0.00
9,0.00
10,0.00
11,0.00
12,0.00
13,0.00
14,0.32
15,0.00
16,1.69
17,0.00
18,0.00
19,0.00
20,0.00